A plane-wave DFT calculation with GGA-PBEsol was carried out for CdBrO2 after structural relaxation.

Cell and atoms, written as CIF:
```
data_CdBrO2
_chemical_formula_sum 'Cd3 Br3 O6'
_cell_length_a 3.4282
_cell_length_b 3.4282
_cell_length_c 18.4895
_cell_angle_alpha 90.00
_cell_angle_beta 90.00
_cell_angle_gamma 120.00
_space_group_name_H-M_alt 'R -3 m'
_space_group_IT_number 166
_space_group_name_Hall '-R 3 2"'
loop_
_atom_site_label
_atom_site_fract_x
_atom_site_fract_y
_atom_site_fract_z
_atom_site_occupancy
Cd1 0.0000 0.0000 0.0000 1
Br1 0.0000 0.0000 0.5000 1
O1 0.0000 0.0000 0.3944 1
```

Summary:
For the offset from the most stable computed form, the calculation gives 0 meV per atom. For the raw formation energy, the calculation gives -471 meV/atom. The value obtained for the magnetic moment is 0.00 Bohr magnetons per cell.

---

A plane-wave DFT calculation with GGA-PBEsol was carried out for HfAg3Sn after structural relaxation.

Cell and atoms, written as CIF:
```
data_HfAg3Sn
_chemical_formula_sum 'Hf1 Ag3 Sn1'
_cell_length_a 5.1105
_cell_length_b 5.1105
_cell_length_c 5.1105
_cell_angle_alpha 90.00
_cell_angle_beta 90.00
_cell_angle_gamma 90.00
_space_group_name_H-M_alt 'P m -3 m'
_space_group_IT_number 221
_space_group_name_Hall '-P 4 2 3'
loop_
_atom_site_label
_atom_site_fract_x
_atom_site_fract_y
_atom_site_fract_z
_atom_site_occupancy
Hf1 0.0000 0.0000 0.0000 1
Ag1 0.0000 0.0000 0.5000 1
Sn1 0.5000 0.5000 0.5000 1
```

Summary:
The value obtained for the formation energy is 1.161 eV per atom. The value obtained for the magnetic moment is 0.00 Bohr magnetons per cell.

---

Which formula does entry 2 have? HfAg3Sn